[1]
Below is a relaxed structure of Pm3Ho5As8, with properties calculated at the PBE level.

Cell lengths 8.3062, 8.3062, 20.3341 Å; angles 90.00, 90.00, 120.00 degrees
Last column: nearest neighbours and their distance in Å.
Space group R-3m (No. 166, hexagonal axes)
Symmetry-distinct sites (fractional):
Pm  0.0000  0.5000  0.0000 x9  6 As 2.97
Ho  0.0000  0.0000  0.0000 x3  6 As 2.94
Ho  0.0000  0.0000  0.5000 x3  6 As 2.94
Ho  0.0000  0.5000  0.5000 x9  6 As 2.90
As  0.0000  0.0000  0.2471 x6  3 Ho 2.90, 3 Pm 2.97
As  0.0038  0.5019  0.7519 x18  4 Ho 2.90-2.94, 2 Pm 2.97

Values from the calculation:
- ΔH_f (0 K): -1.522 eV/atom
- Volume: 1215.0 Å³/cell
- Total DFT energy (no corrections): -296.1 eV/cell
- Magnetization: 0.000 μB/f.u.

***

[2]
Below is a relaxed structure of PmHoAs2, with properties calculated at the PBE level.

Cell lengths 5.2870, 5.2870, 3.3365 Å; angles 90.00, 90.00, 90.00 degrees
Last column: nearest neighbours and their distance in Å.
Space group P4/mmm (No. 123)
Symmetry-distinct sites (fractional):
Pm  0.0000  0.0000  0.0000 x1  8 As 3.13, 2 Pm 3.34
Ho  0.5000  0.5000  0.0000 x1  8 As 3.13, 2 Ho 3.34
As  0.0000  0.5000  0.5000 x2  4 Ho 3.13, 4 Pm 3.13, 2 As 3.34

Values from the calculation:
- Energy relative to the lowest polymorph listed for this composition: 478 meV/atom
- ΔH_f (0 K): -1.045 eV/atom
- Volume: 93.3 Å³/cell
- Total DFT energy (no corrections): -22.8 eV/cell
- Magnetization: 0.000 μB/f.u.

***

[3]
Below is a relaxed structure of PmHoAs, with properties calculated at the PBE level.

Cell lengths 3.7478, 3.7478, 11.4240 Å; angles 90.00, 90.00, 90.00 degrees
Last column: nearest neighbours and their distance in Å.
Space group I4mm (No. 107)
Symmetry-distinct sites (fractional):
Pm  0.0000  0.0000  0.0000 x2  4 As 3.20, 1 Ho 3.23
Ho  0.0000  0.0000  0.2828 x2  4 As 3.01, 1 Pm 3.23
As  0.0000  0.0000  0.6574 x2  4 Ho 3.01, 4 Pm 3.20

Values from the calculation:
- Energy relative to the lowest polymorph listed for this composition: 120 meV/atom
- ΔH_f (0 K): -0.724 eV/atom
- Volume: 160.5 Å³/cell
- Total DFT energy (no corrections): -32.3 eV/cell
- Magnetization: 0.933 μB/f.u.

***

[4]
Below is a relaxed structure of Pm2HoAs, with properties calculated at the PBE level.

Cell lengths 3.8251, 3.8251, 7.7993 Å; angles 90.00, 90.00, 90.00 degrees
Last column: nearest neighbours and their distance in Å.
Space group P4/mmm (No. 123)
Symmetry-distinct sites (fractional):
Pm  0.0000  0.0000  0.2039 x2  4 As 3.14, 1 Pm 3.18
Ho  0.5000  0.5000  0.5000 x1  8 Pm 3.56, 4 Ho 3.83, 2 As 3.90
As  0.5000  0.5000  0.0000 x1  8 Pm 3.14

Values from the calculation:
- Energy relative to the lowest polymorph listed for this composition: 31 meV/atom
- ΔH_f (0 K): -0.524 eV/atom
- Volume: 114.1 Å³/cell
- Total DFT energy (no corrections): -20.8 eV/cell
- Magnetization: 0.000 μB/f.u.

***

[5]
Below is a relaxed structure of PmHoAs2, with properties calculated at the PBE level.

Cell lengths 4.1341, 4.1341, 21.2847 Å; angles 90.00, 90.00, 120.00 degrees
Last column: nearest neighbours and their distance in Å.
Space group R3m (No. 160, hexagonal axes)
Symmetry-distinct sites (fractional):
Pm  0.0000  0.0000  0.0000 x3  6 As 2.96-3.03
Ho  0.0000  0.0000  0.8286 x3  6 As 2.93-2.98
As  0.0000  0.0000  0.4155 x3  3 Ho 2.93, 3 Pm 2.96
As  0.0000  0.0000  0.5791 x3  3 Ho 2.98, 3 Pm 3.03

Values from the calculation:
- Energy relative to the lowest polymorph listed for this composition: 164 meV/atom
- ΔH_f (0 K): -1.360 eV/atom
- Volume: 315.0 Å³/cell
- Total DFT energy (no corrections): -72.2 eV/cell
- Magnetization: 0.000 μB/f.u.

***

[6]
Below is a relaxed structure of PmHoAs2, with properties calculated at the PBE level.

Cell lengths 4.1726, 4.1726, 20.4028 Å; angles 90.00, 90.00, 120.00 degrees
Last column: nearest neighbours and their distance in Å.
Space group R-3m (No. 166, hexagonal axes)
Symmetry-distinct sites (fractional):
Pm  0.0000  0.0000  0.0000 x3  6 As 2.98
Ho  0.0000  0.0000  0.5000 x3  6 As 2.92
As  0.0000  0.0000  0.2472 x6  3 Ho 2.92, 3 Pm 2.98

Values from the calculation:
- Energy relative to the lowest polymorph listed for this composition: 0 meV/atom
- ΔH_f (0 K): -1.523 eV/atom
- Volume: 307.7 Å³/cell
- Total DFT energy (no corrections): -74.2 eV/cell
- Magnetization: 0.000 μB/f.u.

***

[7]
Below is a relaxed structure of PmHo5As6, with properties calculated at the PBE level.

Cell lengths 7.1434, 12.3709, 7.1421 Å; angles 90.00, 109.46, 90.00 degrees
Last column: nearest neighbours and their distance in Å.
Space group C2/m (No. 12)
Symmetry-distinct sites (fractional):
Pm  0.0000  0.0000  0.0000 x2  6 As 2.95-2.96
Ho  0.0000  0.1655  0.5000 x4  6 As 2.89-2.92
Ho  0.0000  0.3329  0.0000 x4  6 As 2.91
Ho  0.0000  0.5000  0.5000 x2  6 As 2.88-2.92
As  0.2460  0.5000  0.2522 x4  5 Ho 2.88-2.91, 1 Pm 2.95
As  0.2466  0.3310  0.7468 x8  5 Ho 2.89-2.92, 1 Pm 2.96

Values from the calculation:
- ΔH_f (0 K): -1.524 eV/atom
- Volume: 595.1 Å³/cell
- Total DFT energy (no corrections): -147.6 eV/cell
- Magnetization: 0.000 μB/f.u.

***

[8]
Below is a relaxed structure of PmHoAs2, with properties calculated at the PBE level.

Cell lengths 7.2256, 7.2256, 7.2256 Å; angles 90.00, 90.00, 90.00 degrees
Last column: nearest neighbours and their distance in Å.
Space group Fm-3m (No. 225)
Symmetry-distinct sites (fractional):
Pm  0.0000  0.0000  0.0000 x4  8 As 3.13
Ho  0.0000  0.0000  0.5000 x4  8 As 3.13
As  0.2500  0.2500  0.2500 x8  4 Ho 3.13, 4 Pm 3.13

Values from the calculation:
- Energy relative to the lowest polymorph listed for this composition: 475 meV/atom
- ΔH_f (0 K): -1.049 eV/atom
- Volume: 377.2 Å³/cell
- Total DFT energy (no corrections): -91.3 eV/cell
- Magnetization: 0.000 μB/f.u.

***

[9]
Below is a relaxed structure of Pm3Pr2HoAs6, with properties calculated at the PBE level.

Cell lengths 18.4790, 4.2426, 8.4790 Å; angles 90.00, 103.29, 90.00 degrees
Last column: nearest neighbours and their distance in Å.
Space group C2/m (No. 12)
Symmetry-distinct sites (fractional):
Pm  0.0000  0.0000  0.0000 x2  6 As 2.98-3.04
Pm  0.1672  0.5000  0.3340 x4  6 As 2.98-3.03
Pr  0.1655  0.5000  0.8316 x4  6 As 3.00-3.03
Ho  0.0000  0.0000  0.5000 x2  6 As 2.95-2.96
As  0.0015  0.5000  0.2567 x4  2 Ho 2.96, 3 Pm 2.98-3.04, 1 Pr 3.00
As  0.1642  0.0000  0.5789 x4  1 Ho 2.95, 3 Pm 2.98-3.03, 2 Pr 3.01
As  0.1658  0.0000  0.0855 x4  3 Pm 2.98-2.99, 3 Pr 3.02-3.03

Values from the calculation:
- ΔH_f (0 K): -1.510 eV/atom
- Volume: 646.9 Å³/cell
- Total DFT energy (no corrections): -148.8 eV/cell
- Magnetization: 0.000 μB/f.u.

***

[10]
Below is a relaxed structure of PmPr2HoAs4, with properties calculated at the PBE level.

Cell lengths 7.3401, 4.2434, 7.3427 Å; angles 90.00, 109.47, 90.00 degrees
Last column: nearest neighbours and their distance in Å.
Space group P2/m (No. 10)
Symmetry-distinct sites (fractional):
Pm  0.0000  0.0000  0.0000 x1  6 As 2.98
Pr  0.5000  0.0000  0.5000 x1  6 As 3.01-3.02
Pr  0.5000  0.5000  0.0000 x1  6 As 3.05
Ho  0.0000  0.5000  0.5000 x1  6 As 2.95
As  0.2403  0.0000  0.7430 x2  2 Ho 2.95, 1 Pm 2.98, 3 Pr 3.01-3.05
As  0.2430  0.5000  0.2515 x2  1 Ho 2.95, 2 Pm 2.98, 3 Pr 3.02-3.05

Values from the calculation:
- ΔH_f (0 K): -1.506 eV/atom
- Volume: 215.6 Å³/cell
- Total DFT energy (no corrections): -49.5 eV/cell
- Magnetization: 0.000 μB/f.u.

***

[11]
Below is a relaxed structure of Pm2Pr3HoAs6, with properties calculated at the PBE level.

Cell lengths 18.5255, 4.2540, 8.5000 Å; angles 90.00, 103.26, 90.00 degrees
Last column: nearest neighbours and their distance in Å.
Space group C2/m (No. 12)
Symmetry-distinct sites (fractional):
Pm  0.1659  0.0000  0.3322 x4  6 As 2.98-3.00
Pr  0.0000  0.5000  0.5000 x2  6 As 3.02-3.06
Pr  0.1670  0.0000  0.8338 x4  6 As 3.02-3.06
Ho  0.0000  0.5000  0.0000 x2  6 As 2.95-2.96
As  0.0005  0.0000  0.2417 x4  2 Ho 2.96, 1 Pm 2.98, 3 Pr 3.02-3.06
As  0.1635  0.5000  0.0841 x4  1 Ho 2.95, 2 Pm 2.99, 3 Pr 3.02-3.06
As  0.1676  0.5000  0.5809 x4  3 Pm 2.99-3.00, 3 Pr 3.02-3.03

Values from the calculation:
- ΔH_f (0 K): -1.507 eV/atom
- Volume: 652.0 Å³/cell
- Total DFT energy (no corrections): -148.8 eV/cell
- Magnetization: 0.000 μB/f.u.

***

[12]
Below is a relaxed structure of Pm2HoAs3Pt4, with properties calculated at the PBE level.

Cell lengths 4.2834, 4.2834, 11.3342 Å; angles 90.00, 90.00, 90.00 degrees
Last column: nearest neighbours and their distance in Å.
Space group P-4m2 (No. 115)
Symmetry-distinct sites (fractional):
Pm  0.0000  0.5000  0.2133 x2  4 As 3.18, 8 Pt 3.23-3.38
Ho  0.0000  0.0000  0.5000 x1  4 Pt 2.77, 4 As 3.03
As  0.0000  0.5000  0.8708 x2  5 Pt 2.45-2.59
As  0.5000  0.5000  0.5000 x1  4 Pt 2.77, 4 Ho 3.03
Pt  0.0000  0.0000  0.0000 x1  4 As 2.59
Pt  0.0000  0.5000  0.6547 x2  1 As 2.45
Pt  0.5000  0.5000  0.0000 x1  4 As 2.59

Values from the calculation:
- ΔH_f (0 K): -0.963 eV/atom
- Volume: 208.0 Å³/cell
- Total DFT energy (no corrections): -61.8 eV/cell
- Magnetization: 0.000 μB/f.u.

***

[13]
Below is a relaxed structure of Pm2Ho3PuAs6, with properties calculated at the PBE level.

Cell lengths 18.0753, 4.1567, 8.3002 Å; angles 90.00, 103.20, 90.00 degrees
Last column: nearest neighbours and their distance in Å.
Space group C2/m (No. 12)
Symmetry-distinct sites (fractional):
Pm  0.1667  0.0000  0.3344 x4  6 As 2.97-2.98
Ho  0.0000  0.5000  0.5000 x2  6 As 2.90-2.94
Ho  0.1676  0.0000  0.8333 x4  6 As 2.90-2.92
Pu  0.0000  0.5000  0.0000 x2  6 As 2.93
As  0.0022  0.0000  0.7521 x4  3 Ho 2.91-2.94, 2 Pu 2.93, 1 Pm 2.97
As  0.1648  0.5000  0.5886 x4  3 Ho 2.90, 3 Pm 2.97
As  0.1663  0.5000  0.0774 x4  3 Ho 2.91-2.92, 1 Pu 2.93, 2 Pm 2.98

Values from the calculation:
- ΔH_f (0 K): -1.431 eV/atom
- Volume: 607.2 Å³/cell
- Total DFT energy (no corrections): -165.3 eV/cell
- Magnetization: 4.864 μB/f.u.

***

[14]
Below is a relaxed structure of PmHo2PuAs4, with properties calculated at the PBE level.

Cell lengths 7.1650, 4.1504, 7.1748 Å; angles 90.00, 109.48, 90.00 degrees
Last column: nearest neighbours and their distance in Å.
Space group P2/m (No. 10)
Symmetry-distinct sites (fractional):
Pm  0.0000  0.0000  0.0000 x1  6 As 2.96-2.97
Ho  0.5000  0.0000  0.5000 x1  6 As 2.89-2.90
Ho  0.5000  0.5000  0.0000 x1  6 As 2.93
Pu  0.0000  0.5000  0.5000 x1  6 As 2.93
As  0.2527  0.0000  0.7468 x2  3 Ho 2.89-2.93, 2 Pu 2.93, 1 Pm 2.96
As  0.2557  0.5000  0.2560 x2  3 Ho 2.90-2.93, 1 Pu 2.93, 2 Pm 2.97

Values from the calculation:
- ΔH_f (0 K): -1.388 eV/atom
- Volume: 201.1 Å³/cell
- Total DFT energy (no corrections): -57.9 eV/cell
- Magnetization: 4.935 μB/f.u.

***

[15]
Below is a relaxed structure of PmHoPu2As4, with properties calculated at the PBE level.

Cell lengths 7.1636, 4.1588, 7.1999 Å; angles 90.00, 109.57, 90.00 degrees
Last column: nearest neighbours and their distance in Å.
Space group P2/m (No. 10)
Symmetry-distinct sites (fractional):
Pm  0.0000  0.0000  0.0000 x1  6 As 2.97-2.98
Ho  0.0000  0.5000  0.5000 x1  6 As 2.94
Pu  0.5000  0.0000  0.5000 x1  6 As 2.89
Pu  0.5000  0.5000  0.0000 x1  6 As 2.93
As  0.2541  0.0000  0.7472 x2  3 Pu 2.89-2.93, 2 Ho 2.94, 1 Pm 2.97
As  0.2573  0.5000  0.2567 x2  3 Pu 2.89-2.93, 1 Ho 2.94, 2 Pm 2.98

Values from the calculation:
- ΔH_f (0 K): -1.269 eV/atom
- Volume: 202.1 Å³/cell
- Total DFT energy (no corrections): -66.7 eV/cell
- Magnetization: 9.899 μB/f.u.

***

[16]
Below is a relaxed structure of Pm2HoPuAs4, with properties calculated at the PBE level.

Cell lengths 7.2234, 4.1843, 7.2297 Å; angles 90.00, 109.46, 90.00 degrees
Last column: nearest neighbours and their distance in Å.
Space group P2/m (No. 10)
Symmetry-distinct sites (fractional):
Pm  0.0000  0.0000  0.0000 x1  6 As 2.99
Pm  0.5000  0.5000  0.0000 x1  6 As 2.99
Ho  0.0000  0.5000  0.5000 x1  6 As 2.92
Pu  0.5000  0.0000  0.5000 x1  6 As 2.91-2.92
As  0.2474  0.0000  0.7410 x2  1 Pu 2.91, 2 Ho 2.92, 3 Pm 2.99
As  0.2536  0.5000  0.2595 x2  1 Ho 2.92, 2 Pu 2.92, 3 Pm 2.99

Values from the calculation:
- ΔH_f (0 K): -1.389 eV/atom
- Volume: 206.0 Å³/cell
- Total DFT energy (no corrections): -58.1 eV/cell
- Magnetization: 4.934 μB/f.u.

***

[17]
Below is a relaxed structure of Pm2HoAs3Rh4, with properties calculated at the PBE level.

Cell lengths 4.1213, 4.1213, 11.4240 Å; angles 90.00, 90.00, 90.00 degrees
Last column: nearest neighbours and their distance in Å.
Space group P-4m2 (No. 115)
Symmetry-distinct sites (fractional):
Pm  0.0000  0.5000  0.2247 x2  4 As 3.12, 8 Rh 3.20-3.29
Ho  0.0000  0.0000  0.5000 x1  4 Rh 2.75, 4 As 2.91
As  0.0000  0.5000  0.8716 x2  5 Rh 2.42-2.53
As  0.5000  0.5000  0.5000 x1  4 Rh 2.75, 4 Ho 2.91
Rh  0.0000  0.0000  0.0000 x1  4 As 2.53
Rh  0.0000  0.5000  0.6594 x2  1 As 2.42
Rh  0.5000  0.5000  0.0000 x1  4 As 2.53

Values from the calculation:
- ΔH_f (0 K): -0.971 eV/atom
- Volume: 194.0 Å³/cell
- Total DFT energy (no corrections): -67.1 eV/cell
- Magnetization: 0.000 μB/f.u.

***

[18]
Below is a relaxed structure of PmHoAsS, with properties calculated at the PBE level.

Cell lengths 3.9959, 3.9959, 21.1202 Å; angles 90.00, 90.00, 120.00 degrees
Last column: nearest neighbours and their distance in Å.
Space group R3m (No. 160, hexagonal axes)
Symmetry-distinct sites (fractional):
Pm  0.0000  0.0000  0.0000 x3  3 As 2.92, 3 S 3.01
Ho  0.0000  0.0000  0.1732 x3  3 As 2.81, 3 S 2.88
As  0.0000  0.0000  0.5823 x3  3 Ho 2.81, 3 Pm 2.92
S  0.0000  0.0000  0.7583 x3  3 Ho 2.88, 3 Pm 3.01

Values from the calculation:
- Uncorrected formation energy: -653 kJ/mol of formula units
- Volume: 292.0 Å³/cell
- Total DFT energy (no corrections): -74.6 eV/cell
- Magnetization: 0.309 μB/f.u.

***

[19]
Below is a relaxed structure of Pm2HoScAs4, with properties calculated at the PBE level.

Cell lengths 7.1227, 4.1260, 7.1373 Å; angles 90.00, 109.52, 90.00 degrees
Last column: nearest neighbours and their distance in Å.
Space group P2/m (No. 10)
Symmetry-distinct sites (fractional):
Pm  0.0000  0.0000  0.0000 x1  6 As 2.95
Pm  0.0000  0.5000  0.5000 x1  6 As 3.00
Ho  0.5000  0.0000  0.5000 x1  6 As 2.88
Sc  0.5000  0.5000  0.0000 x1  6 As 2.83
As  0.2630  0.5000  0.2485 x2  1 Sc 2.83, 2 Ho 2.88, 3 Pm 2.95-3.00
As  0.2673  0.0000  0.7616 x2  2 Sc 2.83, 1 Ho 2.88, 3 Pm 2.95-3.00

Values from the calculation:
- ΔH_f (0 K): -1.466 eV/atom
- Volume: 197.7 Å³/cell
- Total DFT energy (no corrections): -50.7 eV/cell
- Magnetization: 0.000 μB/f.u.

***

[20]
Below is a relaxed structure of PmHoAsSe, with properties calculated at the PBE level.

Cell lengths 4.1426, 4.1426, 20.4710 Å; angles 90.00, 90.00, 120.00 degrees
Last column: nearest neighbours and their distance in Å.
Space group R3m (No. 160, hexagonal axes)
Symmetry-distinct sites (fractional):
Pm  0.0000  0.0000  0.0000 x3  3 As 2.93, 3 Se 3.03
Ho  0.0000  0.0000  0.5080 x3  3 As 2.85, 3 Se 2.94
As  0.0000  0.0000  0.2505 x3  3 Ho 2.85, 3 Pm 2.93
Se  0.0000  0.0000  0.7574 x3  3 Ho 2.94, 3 Pm 3.03

Values from the calculation:
- Uncorrected formation energy: -662 kJ/mol of formula units
- Volume: 304.2 Å³/cell
- Total DFT energy (no corrections): -73.0 eV/cell
- Magnetization: 0.000 μB/f.u.